The following is a PBE calculation of a relaxed LiCr2Ge crystal, from Alexandria.

Properties
Total moment = 0.3 μB per formula unit
ΔE_f = 2.53 eV per formula unit
N(E_F) = 0.92 states/eV per atom
E = -5.811 eV per atom
Space-group type = I-42d (122)

a b c (Å): 5.271 5.271 5.271
angles (deg): 102.23 102.23 125.20
Sites, in units of the cell vectors:
Li 0.000 0.000 0.000
Li 0.750 0.250 0.500
Cr 0.133 0.625 0.008
Cr 0.375 0.383 0.508
Cr 0.617 0.125 0.992
Cr 0.875 0.867 0.492
Ge 0.250 0.750 0.500
Ge 0.500 0.500 0.000

---

The following is a PBE calculation of a relaxed LiCrGe2 crystal, from Alexandria.

Properties
Energy relative to the lowest polymorph listed for this composition = 0.178 eV/atom
Total moment = 0.0 μB per formula unit
ΔE_f = 0.62 eV per formula unit
N(E_F) = 2.11 states/eV per atom
E = -5.039 eV per atom
Space-group type = Fm-3m (225)

a b c (Å): 4.288 4.288 4.288
angles (deg): 60.00 60.00 60.00
Sites, in units of the cell vectors:
Li 0.000 0.000 0.000
Cr 0.500 0.500 0.500
Ge 0.250 0.250 0.250
Ge 0.750 0.750 0.750

---

The following is a PBE calculation of a relaxed Li2MgCrGe crystal, from Alexandria.

Properties
Total moment = 0.5 μB per formula unit
ΔE_f = 4.93 eV per formula unit
N(E_F) = 1.68 states/eV per atom
E = -2.947 eV per atom
Space-group type = P4/mmm (123)

a b c (Å): 4.627 4.627 4.982
angles (deg): 90.00 90.00 90.00
Sites, in units of the cell vectors:
Li 0.000 0.500 0.000
Li 0.500 0.000 0.000
Mg 0.000 0.000 0.500
Cr 0.500 0.500 0.500
Ge 0.000 0.000 0.000

---

The following is a PBE calculation of a relaxed Li2CrGeN crystal, from Alexandria.

Properties
Total moment = 2.1 μB per formula unit
N(E_F) = 0.33 states/eV per atom
E_form (uncorrected) = -0.333 eV per atom
E = -5.612 eV per atom
Space-group type = P4/mmm (123)

a b c (Å): 4.072 4.072 3.709
angles (deg): 90.00 90.00 90.00
Sites, in units of the cell vectors:
Li 0.000 0.500 0.000
Li 0.500 0.000 0.000
Cr 0.000 0.000 0.500
Ge 0.500 0.500 0.500
N 0.000 0.000 0.000

---

The following is a PBE calculation of a relaxed LiCrGe2N4 crystal, from Alexandria.

Properties
Total moment = 3.0 μB per formula unit
N(E_F) = 0.12 states/eV per atom
E_form (uncorrected) = -0.210 eV per atom
E = -6.969 eV per atom
Space-group type = I-42m (121)

a b c (Å): 5.716 5.716 5.716
angles (deg): 135.14 135.14 65.31
Sites, in units of the cell vectors:
Li 0.000 0.000 0.000
Cr 0.500 0.500 0.000
Ge 0.250 0.750 0.500
Ge 0.750 0.250 0.500
N 0.129 0.599 0.000
N 0.401 0.401 0.529
N 0.599 0.129 0.000
N 0.871 0.871 0.471

---

The following is a PBE calculation of a relaxed LiCr2GeN crystal, from Alexandria.

Properties
Total moment = 3.4 μB per formula unit
N(E_F) = 0.37 states/eV per atom
E_form (uncorrected) = -0.330 eV per atom
E = -7.150 eV per atom
Space-group type = P4/mmm (123)

a b c (Å): 3.863 3.863 3.846
angles (deg): 90.00 90.00 90.00
Sites, in units of the cell vectors:
Li 0.000 0.000 0.000
Cr 0.000 0.500 0.500
Cr 0.500 0.000 0.500
Ge 0.500 0.500 0.000
N 0.000 0.000 0.500

---

The following is a PBE calculation of a relaxed Li2NbCrGe crystal, from Alexandria.

Properties
Total moment = 0.0 μB per formula unit
ΔE_f = 4.04 eV per formula unit
N(E_F) = 0.72 states/eV per atom
E = -4.820 eV per atom
Space-group type = P4/mmm (123)

a b c (Å): 4.189 4.189 4.568
angles (deg): 90.00 90.00 90.00
Sites, in units of the cell vectors:
Li 0.000 0.500 0.000
Li 0.500 0.000 0.000
Nb 0.000 0.000 0.500
Cr 0.500 0.500 0.500
Ge 0.500 0.500 0.000

---

> Look up the E of the fourth one.

-5.612 eV per atom